Record 1
Below is a relaxed Cs6CdI8 crystal, with properties calculated at the PBE level.

It has space group R-3 (No. 148, hexagonal axes), with a = 11.2335 Å, b = 11.2335 Å, c = 22.2705 Å, α = 90.00°, β = 90.00° and γ = 120.00°. Symmetry generates all atoms from Cs at (0.0228, 0.4047, 0.4195), Cd at (0.0000, 0.0000, 0.5000), I at (0.0000, 0.0000, 0.1520) and I at (0.0115, 0.2313, 0.5799).

As for the uncorrected formation energy: -1.328 eV per atom. The calculation puts the density of states at the Fermi level at 0.00 states/eV/f.u.

=====

Record 2
Below is a relaxed CsCdI crystal, with properties calculated at the PBE level.

It has space group P1 (No. 1), with a = 5.3159 Å, b = 5.3218 Å, c = 12.7699 Å, α = 89.96°, β = 89.98° and γ = 60.10°. Symmetry generates all atoms from Cs at (0.0000, 0.0000, 0.0000), Cs at (0.3327, 0.3312, 0.3742), Cd at (0.9999, 0.0013, 0.6999), Cd at (0.3330, 0.3359, 0.7739), I at (0.6662, 0.6654, 0.1744) and I at (0.6658, 0.6662, 0.5514).

As for the uncorrected formation energy: -0.802 eV per atom.

=====

Record 3
Below is a relaxed Cs3CdI6 crystal, with properties calculated at the PBE level.

It has space group Fm-3m (No. 225), with a = 13.1665 Å, b = 13.1665 Å, c = 13.1665 Å, α = 90.00°, β = 90.00° and γ = 90.00°. Symmetry generates all atoms from Cs at (0.0000, 0.0000, 0.0000), Cs at (0.2500, 0.2500, 0.2500), Cd at (0.0000, 0.0000, 0.5000) and I at (0.0000, 0.0000, 0.2741).

The calculation puts the energy above the lowest structure with this stoichiometry at 0.143 eV per atom. As for the uncorrected formation energy: -0.966 eV per atom. The calculation puts the density of states at the Fermi level at 12.85 states/eV/f.u.

=====

Record 4
Below is a relaxed Cs3Cd2I7 crystal, with properties calculated at the PBE level.

It has space group Cmmm (No. 65), with a = 6.1228 Å, b = 30.6028 Å, c = 6.0138 Å, α = 90.00°, β = 90.00° and γ = 90.00°. Symmetry generates all atoms from Cs at (0.0000, 0.0000, 0.0000), Cs at (0.0000, 0.1771, 0.0000), Cd at (0.0000, 0.3985, 0.5000), I at (0.0000, 0.0936, 0.5000), I at (0.0000, 0.3035, 0.5000), I at (0.0000, 0.4060, 0.0000) and I at (0.0000, 0.5000, 0.5000).

As for the uncorrected formation energy: -1.036 eV per atom.

=====

Number 1: M_tot 0.00 μB/f.u.. Number 2: M_tot 0.00 μB/f.u.. Number 3: M_tot 0.00 μB/f.u.. Number 4: M_tot 0.00 μB/f.u..